[1]
## Li2ReTc (GGA-PBEsol)

Data for a relaxed structure of Li2ReTc.

Summary:
- Space group: Cm
- Formation energy: 296 meV per atom
- E: -54.7 eV per cell

a = 8.773 Å, b = 2.482 Å, c = 5.221 Å
α = 90.00°, β = 92.09°, γ = 90.00°
Element x y z (fractional)
Li  0.000  0.000  0.000
Li  0.245  0.000  0.783
Li  0.500  0.500  0.000
Li  0.745  0.500  0.783
Re  0.244  0.500  0.291
Re  0.744  0.000  0.291
Tc  0.000  0.500  0.487
Tc  0.500  0.000  0.487

=====

[2]
## LiRe2Tc (GGA-PBEsol)

Data for a relaxed structure of LiRe2Tc.

Summary:
- Space group: Pmmm
- Formation energy: 306 meV per atom
- E: -38.7 eV per cell
- Excess energy over the best structure of this formula in the dataset: 0.099 eV/atom

a = 2.677 Å, b = 3.956 Å, c = 5.169 Å
α = 90.00°, β = 90.00°, γ = 90.00°
Element x y z (fractional)
Li  0.000  0.000  0.000
Re  0.500  0.500  0.242
Re  0.500  0.500  0.758
Tc  0.000  0.000  0.500

=====

[3]
## LiRe2Tc (GGA-PBEsol)

Data for a relaxed structure of LiRe2Tc.

Summary:
- Space group: Pm
- Formation energy: 217 meV per atom
- E: -39.0 eV per cell
- Excess energy over the best structure of this formula in the dataset: 0.011 eV/atom

a = 2.593 Å, b = 4.255 Å, c = 5.069 Å
α = 90.00°, β = 99.28°, γ = 90.00°
Element x y z (fractional)
Li  0.000  0.000  0.000
Re  0.493  0.000  0.501
Re  0.728  0.500  0.244
Tc  0.269  0.500  0.768

=====

[4]
## LiRe2Te (GGA-PBEsol)

Data for a relaxed structure of LiRe2Te.

Summary:
- Space group: I-42d
- E: -118.8 eV per cell
- Formation energy (no corrections): 0.62 eV/atom

a = 3.840 Å, b = 3.840 Å, c = 18.604 Å
α = 90.00°, β = 90.00°, γ = 90.00°
Element x y z (fractional)
Li  0.000  0.000  0.000
Li  0.000  0.500  0.250
Li  0.500  0.000  0.750
Li  0.500  0.500  0.500
Re  0.192  0.250  0.125
Re  0.250  0.692  0.375
Re  0.250  0.808  0.875
Re  0.308  0.250  0.625
Re  0.692  0.750  0.625
Re  0.750  0.192  0.875
Re  0.750  0.308  0.375
Re  0.808  0.750  0.125
Te  0.000  0.000  0.500
Te  0.000  0.500  0.750
Te  0.500  0.000  0.250
Te  0.500  0.500  0.000

=====

[5]
## LiRe2Te2 (GGA-PBEsol)

Data for a relaxed structure of LiRe2Te2.

Summary:
- Space group: I4/mmm
- E: -66.2 eV per cell
- Formation energy (no corrections): 0.51 eV/atom

a = 4.964 Å, b = 4.964 Å, c = 8.861 Å
α = 90.00°, β = 90.00°, γ = 90.00°
Element x y z (fractional)
Li  0.000  0.000  0.000
Li  0.500  0.500  0.500
Re  0.000  0.000  0.371
Re  0.000  0.000  0.629
Re  0.500  0.500  0.129
Re  0.500  0.500  0.871
Te  0.000  0.500  0.250
Te  0.000  0.500  0.750
Te  0.500  0.000  0.250
Te  0.500  0.000  0.750

=====

[6]
## Li4TlRe (GGA-PBEsol)

Data for a relaxed structure of Li4TlRe.

Summary:
- Space group: F-43m
- Formation energy: 469 meV per atom
- E: -21.0 eV per cell

a = 4.928 Å, b = 4.928 Å, c = 4.928 Å
α = 60.00°, β = 60.00°, γ = 60.00°
Element x y z (fractional)
Li  0.123  0.123  0.123
Li  0.123  0.123  0.631
Li  0.123  0.631  0.123
Li  0.631  0.123  0.123
Tl  0.500  0.500  0.500
Re  0.750  0.750  0.750

=====

[7]
## Li2TlRe (GGA-PBEsol)

Data for a relaxed structure of Li2TlRe.

Summary:
- Space group: Imm2
- Formation energy: 494 meV per atom
- E: -35.8 eV per cell

a = 2.803 Å, b = 4.614 Å, c = 9.213 Å
α = 90.00°, β = 90.00°, γ = 90.00°
Element x y z (fractional)
Li  0.000  0.000  0.000
Li  0.000  0.500  0.277
Li  0.500  0.000  0.777
Li  0.500  0.500  0.500
Tl  0.000  0.500  0.742
Tl  0.500  0.000  0.242
Re  0.000  0.000  0.522
Re  0.500  0.500  0.022

=====

[8]
## LiTlRe3 (GGA-PBEsol)

Data for a relaxed structure of LiTlRe3.

Summary:
- Space group: Pm-3m
- Formation energy: 1699 meV per atom
- E: -36.1 eV per cell

a = 4.213 Å, b = 4.213 Å, c = 4.213 Å
α = 90.00°, β = 90.00°, γ = 90.00°
Element x y z (fractional)
Li  0.000  0.000  0.000
Tl  0.500  0.500  0.500
Re  0.000  0.000  0.500
Re  0.000  0.500  0.000
Re  0.500  0.000  0.000

=====

[9]
## LiReW2 (GGA-PBEsol)

Data for a relaxed structure of LiReW2.

Summary:
- Space group: Immm
- Formation energy: 394 meV per atom
- E: -82.7 eV per cell
- Excess energy over the best structure of this formula in the dataset: 0.084 eV/atom

a = 3.083 Å, b = 4.371 Å, c = 8.715 Å
α = 90.00°, β = 90.00°, γ = 90.00°
Element x y z (fractional)
Li  0.000  0.000  0.000
Li  0.500  0.500  0.500
Re  0.000  0.000  0.500
Re  0.500  0.500  0.000
W  0.000  0.500  0.239
W  0.000  0.500  0.761
W  0.500  0.000  0.261
W  0.500  0.000  0.739

=====

[10]
## LiRe2W (GGA-PBEsol)

Data for a relaxed structure of LiRe2W.

Summary:
- Space group: C2/m
- Formation energy: 363 meV per atom
- E: -82.0 eV per cell
- Excess energy over the best structure of this formula in the dataset: 0.004 eV/atom

a = 8.796 Å, b = 2.618 Å, c = 5.013 Å
α = 90.00°, β = 93.57°, γ = 90.00°
Element x y z (fractional)
Li  0.000  0.000  0.000
Li  0.500  0.500  0.000
Re  0.248  0.000  0.763
Re  0.252  0.500  0.237
Re  0.748  0.500  0.763
Re  0.752  0.000  0.237
W  0.000  0.500  0.500
W  0.500  0.000  0.500

=====

[11]
## Li2ReW2 (GGA-PBEsol)

Data for a relaxed structure of Li2ReW2.

Summary:
- Space group: I4/mmm
- Formation energy: 930 meV per atom
- E: -80.5 eV per cell

a = 3.640 Å, b = 3.640 Å, c = 9.907 Å
α = 90.00°, β = 90.00°, γ = 90.00°
Element x y z (fractional)
Li  0.000  0.000  0.081
Li  0.000  0.000  0.919
Li  0.500  0.500  0.419
Li  0.500  0.500  0.581
Re  0.000  0.000  0.500
Re  0.500  0.500  0.000
W  0.000  0.500  0.250
W  0.000  0.500  0.750
W  0.500  0.000  0.250
W  0.500  0.000  0.750

=====

[12]
## LiReW2 (GGA-PBEsol)

Data for a relaxed structure of LiReW2.

Summary:
- Space group: C2/m
- Formation energy: 310 meV per atom
- E: -83.4 eV per cell
- Excess energy over the best structure of this formula in the dataset: 0.000 eV/atom

a = 5.379 Å, b = 8.755 Å, c = 2.631 Å
α = 90.00°, β = 109.01°, γ = 90.00°
Element x y z (fractional)
Li  0.000  0.000  0.000
Li  0.500  0.500  0.000
Re  0.000  0.500  0.000
Re  0.500  0.000  0.000
W  0.250  0.250  0.500
W  0.250  0.750  0.500
W  0.750  0.250  0.500
W  0.750  0.750  0.500

=====

[13]
## LiRe2W (GGA-PBEsol)

Data for a relaxed structure of LiRe2W.

Summary:
- Space group: R-3m
- Formation energy: 360 meV per atom
- E: -123.0 eV per cell
- Excess energy over the best structure of this formula in the dataset: 0.000 eV/atom

a = 2.748 Å, b = 2.748 Å, c = 27.643 Å
α = 90.00°, β = 90.00°, γ = 120.00°
Element x y z (fractional)
Li  0.000  0.000  0.000
Li  0.333  0.667  0.667
Li  0.667  0.333  0.333
Re  0.000  0.000  0.247
Re  0.000  0.000  0.753
Re  0.333  0.667  0.419
Re  0.333  0.667  0.914
Re  0.667  0.333  0.086
Re  0.667  0.333  0.581
W  0.000  0.000  0.500
W  0.333  0.667  0.167
W  0.667  0.333  0.833

=====

[14]
## LiYRe (GGA-PBEsol)

Data for a relaxed structure of LiYRe.

Summary:
- Space group: F-43m
- Formation energy: 1500 meV per atom
- E: -70.5 eV per cell
- Excess energy over the best structure of this formula in the dataset: 1.094 eV/atom

a = 6.454 Å, b = 6.454 Å, c = 6.454 Å
α = 90.00°, β = 90.00°, γ = 90.00°
Element x y z (fractional)
Li  0.000  0.000  0.000
Li  0.000  0.500  0.500
Li  0.500  0.000  0.500
Li  0.500  0.500  0.000
Y  0.250  0.250  0.250
Y  0.250  0.750  0.750
Y  0.750  0.250  0.750
Y  0.750  0.750  0.250
Re  0.000  0.000  0.500
Re  0.000  0.500  0.000
Re  0.500  0.000  0.000
Re  0.500  0.500  0.500

=====

[15]
## Li3YRe (GGA-PBEsol)

Data for a relaxed structure of Li3YRe.

Summary:
- Space group: Pm-3m
- Formation energy: 1988 meV per atom
- E: -16.1 eV per cell

a = 4.353 Å, b = 4.353 Å, c = 4.353 Å
α = 90.00°, β = 90.00°, γ = 90.00°
Element x y z (fractional)
Li  0.000  0.000  0.500
Li  0.000  0.500  0.000
Li  0.500  0.000  0.000
Y  0.000  0.000  0.000
Re  0.500  0.500  0.500

=====

[16]
## LiYRe2 (GGA-PBEsol)

Data for a relaxed structure of LiYRe2.

Summary:
- Space group: Cm
- Formation energy: 360 meV per atom
- E: -68.0 eV per cell
- Excess energy over the best structure of this formula in the dataset: 0.000 eV/atom

a = 8.304 Å, b = 3.162 Å, c = 5.540 Å
α = 90.00°, β = 99.52°, γ = 90.00°
Element x y z (fractional)
Li  0.000  0.000  0.000
Li  0.500  0.500  0.000
Y  0.235  0.000  0.721
Y  0.735  0.500  0.721
Re  0.242  0.500  0.235
Re  0.468  0.000  0.380
Re  0.742  0.000  0.235
Re  0.968  0.500  0.380

=====

[17]
## LiYRe2 (GGA-PBEsol)

Data for a relaxed structure of LiYRe2.

Summary:
- Space group: Cmm2
- Formation energy: 460 meV per atom
- E: -67.2 eV per cell
- Excess energy over the best structure of this formula in the dataset: 0.100 eV/atom

a = 3.111 Å, b = 4.614 Å, c = 9.741 Å
α = 90.00°, β = 90.00°, γ = 90.00°
Element x y z (fractional)
Li  0.000  0.000  0.000
Li  0.500  0.500  0.000
Y  0.000  0.500  0.692
Y  0.500  0.000  0.692
Re  0.000  0.000  0.440
Re  0.000  0.500  0.229
Re  0.500  0.000  0.229
Re  0.500  0.500  0.440

=====

[18]
## LiYRe (GGA-PBEsol)

Data for a relaxed structure of LiYRe.

Summary:
- Space group: P3m1
- Formation energy: 406 meV per atom
- E: -20.9 eV per cell
- Excess energy over the best structure of this formula in the dataset: 0.000 eV/atom

a = 4.741 Å, b = 4.741 Å, c = 2.751 Å
α = 90.00°, β = 90.00°, γ = 120.00°
Element x y z (fractional)
Li  0.000  0.000  0.000
Y  0.667  0.333  0.546
Re  0.333  0.667  0.061

=====

[19]
## LiYRe (GGA-PBEsol)

Data for a relaxed structure of LiYRe.

Summary:
- Space group: Fmm2
- Formation energy: 525 meV per atom
- E: -82.2 eV per cell
- Excess energy over the best structure of this formula in the dataset: 0.119 eV/atom

a = 3.248 Å, b = 4.674 Å, c = 14.801 Å
α = 90.00°, β = 90.00°, γ = 90.00°
Element x y z (fractional)
Li  0.000  0.000  0.000
Li  0.000  0.500  0.500
Li  0.500  0.000  0.500
Li  0.500  0.500  0.000
Y  0.000  0.000  0.297
Y  0.000  0.500  0.797
Y  0.500  0.000  0.797
Y  0.500  0.500  0.297
Re  0.000  0.000  0.645
Re  0.000  0.500  0.145
Re  0.500  0.000  0.145
Re  0.500  0.500  0.645

=====

[20]
## Li2ZrRe (GGA-PBEsol)

Data for a relaxed structure of Li2ZrRe.

Summary:
- Space group: P4/mmm
- Formation energy: 466 meV per atom
- E: -24.5 eV per cell

a = 2.608 Å, b = 2.608 Å, c = 9.735 Å
α = 90.00°, β = 90.00°, γ = 90.00°
Element x y z (fractional)
Li  0.000  0.000  0.223
Li  0.000  0.000  0.777
Zr  0.500  0.500  0.500
Re  0.500  0.500  0.000

=====

[21]
## LiZr2Re (GGA-PBEsol)

Data for a relaxed structure of LiZr2Re.

Summary:
- Space group: P2/m
- Formation energy: 122 meV per atom
- E: -33.0 eV per cell
- Excess energy over the best structure of this formula in the dataset: 0.255 eV/atom

a = 2.851 Å, b = 4.231 Å, c = 6.208 Å
α = 90.00°, β = 100.13°, γ = 90.00°
Element x y z (fractional)
Li  0.000  0.000  0.000
Zr  0.402  0.500  0.730
Zr  0.598  0.500  0.270
Re  0.000  0.000  0.500

=====

[22]
## LiZr2Re (GGA-PBEsol)

Data for a relaxed structure of LiZr2Re.

Summary:
- Space group: Fm-3m
- Formation energy: -133 meV per atom
- E: -136.0 eV per cell
- Excess energy over the best structure of this formula in the dataset: 0.000 eV/atom

a = 6.552 Å, b = 6.552 Å, c = 6.552 Å
α = 90.00°, β = 90.00°, γ = 90.00°
Element x y z (fractional)
Li  0.000  0.000  0.000
Li  0.000  0.500  0.500
Li  0.500  0.000  0.500
Li  0.500  0.500  0.000
Zr  0.250  0.250  0.250
Zr  0.250  0.250  0.750
Zr  0.250  0.750  0.250
Zr  0.250  0.750  0.750
Zr  0.750  0.250  0.250
Zr  0.750  0.250  0.750
Zr  0.750  0.750  0.250
Zr  0.750  0.750  0.750
Re  0.000  0.000  0.500
Re  0.000  0.500  0.000
Re  0.500  0.000  0.000
Re  0.500  0.500  0.500

=====

[23]
## Li3Rh2 (GGA-PBEsol)

Data for a relaxed structure of Li3Rh2.

Summary:
- Space group: R-3m
- Formation energy: -101 meV per atom
- E: -68.1 eV per cell

a = 2.653 Å, b = 2.653 Å, c = 33.452 Å
α = 90.00°, β = 90.00°, γ = 120.00°
Element x y z (fractional)
Li  0.000  0.000  0.000
Li  0.000  0.000  0.207
Li  0.000  0.000  0.793
Li  0.333  0.667  0.459
Li  0.333  0.667  0.667
Li  0.333  0.667  0.874
Li  0.667  0.333  0.126
Li  0.667  0.333  0.333
Li  0.667  0.333  0.541
Rh  0.000  0.000  0.398
Rh  0.000  0.000  0.602
Rh  0.333  0.667  0.064
Rh  0.333  0.667  0.269
Rh  0.667  0.333  0.731
Rh  0.667  0.333  0.936

=====

[24]
## Li8Rh (GGA-PBEsol)

Data for a relaxed structure of Li8Rh.

Summary:
- Space group: I4/mmm
- Formation energy: -2 meV per atom
- E: -23.9 eV per cell

a = 6.351 Å, b = 6.351 Å, c = 6.351 Å
α = 95.93°, β = 95.93°, γ = 142.51°
Element x y z (fractional)
Li  0.000  0.311  0.311
Li  0.000  0.689  0.689
Li  0.311  0.000  0.311
Li  0.349  0.349  0.697
Li  0.349  0.651  0.000
Li  0.651  0.349  0.000
Li  0.651  0.651  0.303
Li  0.689  0.000  0.689
Rh  0.000  0.000  0.000

=====

[25]
## LiRh (GGA-PBEsol)

Data for a relaxed structure of LiRh.

Summary:
- Space group: R-3m
- Formation energy: -128 meV per atom
- E: -31.1 eV per cell

a = 2.623 Å, b = 2.623 Å, c = 12.973 Å
α = 90.00°, β = 90.00°, γ = 120.00°
Element x y z (fractional)
Li  0.000  0.000  0.000
Li  0.333  0.667  0.667
Li  0.667  0.333  0.333
Rh  0.000  0.000  0.500
Rh  0.333  0.667  0.167
Rh  0.667  0.333  0.833

=====

[26]
## Li2Rh (GGA-PBEsol)

Data for a relaxed structure of Li2Rh.

Summary:
- Space group: I4/mmm
- Formation energy: -28 meV per atom
- E: -24.3 eV per cell

a = 2.619 Å, b = 2.619 Å, c = 12.625 Å
α = 90.00°, β = 90.00°, γ = 90.00°
Element x y z (fractional)
Li  0.000  0.000  0.147
Li  0.000  0.000  0.853
Li  0.500  0.500  0.353
Li  0.500  0.500  0.647
Rh  0.000  0.000  0.500
Rh  0.500  0.500  0.000

=====

[27]
## LiRh (GGA-PBEsol)

Data for a relaxed structure of LiRh.

Summary:
- Space group: Cmcm
- Formation energy: -49 meV per atom
- E: -40.8 eV per cell

a = 2.591 Å, b = 9.746 Å, c = 4.175 Å
α = 90.00°, β = 90.00°, γ = 90.00°
Element x y z (fractional)
Li  0.000  0.049  0.250
Li  0.000  0.951  0.750
Li  0.500  0.451  0.750
Li  0.500  0.549  0.250
Rh  0.000  0.296  0.250
Rh  0.000  0.704  0.750
Rh  0.500  0.204  0.750
Rh  0.500  0.796  0.250

=====

[28]
## Li2Rh (GGA-PBEsol)

Data for a relaxed structure of Li2Rh.

Summary:
- Space group: P6_3/mmc
- Formation energy: 136 meV per atom
- E: -23.3 eV per cell

a = 4.196 Å, b = 4.196 Å, c = 4.887 Å
α = 90.00°, β = 90.00°, γ = 120.00°
Element x y z (fractional)
Li  0.000  0.000  0.000
Li  0.000  0.000  0.500
Li  0.333  0.667  0.250
Li  0.667  0.333  0.750
Rh  0.333  0.667  0.750
Rh  0.667  0.333  0.250

=====

[29]
## LiRh (GGA-PBEsol)

Data for a relaxed structure of LiRh.

Summary:
- Space group: C2/m
- Formation energy: -78 meV per atom
- E: -41.0 eV per cell

a = 9.471 Å, b = 2.610 Å, c = 4.686 Å
α = 90.00°, β = 115.61°, γ = 90.00°
Element x y z (fractional)
Li  0.120  0.000  0.465
Li  0.380  0.500  0.535
Li  0.620  0.500  0.465
Li  0.880  0.000  0.535
Rh  0.130  0.500  0.979
Rh  0.370  0.000  0.021
Rh  0.630  0.000  0.979
Rh  0.870  0.500  0.021

=====

[30]
## LiRh (GGA-PBEsol)

Data for a relaxed structure of LiRh.

Summary:
- Space group: Cmme
- Formation energy: 86 meV per atom
- E: -39.7 eV per cell

a = 2.721 Å, b = 4.535 Å, c = 9.191 Å
α = 90.00°, β = 90.00°, γ = 90.00°
Element x y z (fractional)
Li  0.000  0.250  0.146
Li  0.000  0.750  0.854
Li  0.500  0.250  0.854
Li  0.500  0.750  0.146
Rh  0.000  0.250  0.623
Rh  0.000  0.750  0.377
Rh  0.500  0.250  0.377
Rh  0.500  0.750  0.623